1.
A relaxed NdGdMgAu crystal, computed with PBE-GGA.

Output
magnetic moment = 7.58 Bohr magnetons per cell
space group = F-43m
total DFT energy (no corrections) = -6.32 eV per atom
ΔH_f (0 K) = -0.39 eV/atom

a b c (Å): 5.295 5.295 5.295
angles (deg): 60.00 60.00 60.00
Positions (direct):
Nd 0.000 0.000 0.000
Gd 0.500 0.500 0.500
Mg 0.250 0.250 0.250
Au 0.750 0.750 0.750

***

2.
A relaxed DyGa4Pd8 crystal, computed with PBE-GGA.

Output
magnetic moment = 0.00 Bohr magnetons per cell
space group = I4/mmm
total DFT energy (no corrections) = -5.14 eV per atom
ΔH_f (0 K) = -0.66 eV/atom

a b c (Å): 6.814 6.814 6.814
angles (deg): 98.90 98.90 133.68
Positions (direct):
Dy 0.000 0.000 0.000
Ga 0.000 0.000 0.500
Ga 0.000 0.500 0.000
Ga 0.500 0.000 0.000
Ga 0.500 0.500 0.500
Pd 0.000 0.336 0.336
Pd 0.000 0.664 0.664
Pd 0.278 0.500 0.778
Pd 0.336 0.000 0.336
Pd 0.500 0.278 0.778
Pd 0.500 0.722 0.222
Pd 0.664 0.000 0.664
Pd 0.722 0.500 0.222

***

3.
A relaxed CeAsIr crystal, computed with PBE-GGA.

Output
magnetic moment = 1.47 Bohr magnetons per cell
space group = P2_1/c
total DFT energy (no corrections) = -7.36 eV per atom
ΔH_f (0 K) = -0.88 eV/atom

a b c (Å): 5.932 5.832 7.770
angles (deg): 90.00 113.03 90.00
Positions (direct):
Ce 0.212 0.149 0.365
Ce 0.212 0.351 0.865
Ce 0.788 0.649 0.135
Ce 0.788 0.851 0.635
As 0.214 0.684 0.534
As 0.214 0.816 0.034
As 0.786 0.184 0.966
As 0.786 0.316 0.466
Ir 0.420 0.579 0.310
Ir 0.420 0.921 0.810
Ir 0.580 0.079 0.190
Ir 0.580 0.421 0.690

***

> Which formula does entry 2 have?

DyGa4Pd8